The following is a PBE-GGA calculation of a geometry-optimized LiGaCBr2 structure, from the Alexandria database.

Summary:
Space group: P4/mmm, No. 123
Volume, A^3/atom: 23.5
Formation energy from raw total energies, eV per atom: 0.2104
Size of the total moment, Bohr magnetons per cell: 2.0

abc: 5.5586 5.5586 3.8104
angles: 90.00 90.00 90.00
Atoms (fractional coordinates):
Li 0.0000 0.0000 0.0000
Ga 0.5000 0.5000 0.5000
C 0.5000 0.5000 0.0000
Br 0.0000 0.5000 0.5000
Br 0.5000 0.0000 0.5000

The following is a PBE-GGA calculation of a geometry-optimized NaMg2Sn3 structure, from the Alexandria database.

Summary:
Formation energy, eV/atom: -0.14
Space group: P4/mmm, No. 123
Volume, A^3/atom: 25.4
Size of the total moment, Bohr magnetons per cell: 0.0
Energy relative to the lowest polymorph listed for this composition, meV/atom: 0

abc: 3.7477 3.7477 10.8317
angles: 90.00 90.00 90.00
Atoms (fractional coordinates):
Na 0.0000 0.0000 0.0000
Mg 0.0000 0.0000 0.3464
Mg 0.0000 0.0000 0.6536
Sn 0.5000 0.5000 0.1940
Sn 0.5000 0.5000 0.5000
Sn 0.5000 0.5000 0.8060

The following is a PBE-GGA calculation of a geometry-optimized YSc2Mo structure, from the Alexandria database.

Summary:
Formation energy, eV/atom: 0.20
Space group: Cmmm, No. 65
Volume, A^3/atom: 23.3
Size of the total moment, Bohr magnetons per cell: 0.0
Energy relative to the lowest polymorph listed for this composition, meV/atom: 54

abc: 3.1404 3.1404 9.9379
angles: 90.00 90.00 108.25
Atoms (fractional coordinates):
Y 0.0000 0.0000 0.0000
Sc 0.5000 0.5000 0.2979
Sc 0.5000 0.5000 0.7021
Mo 0.0000 0.0000 0.5000

The following is a PBE-GGA calculation of a geometry-optimized MgTe structure, from the Alexandria database.

Summary:
Space group: Fd-3m, No. 227
Volume, A^3/atom: 26.6
Formation energy from raw total energies, eV per atom: -0.0328
Size of the total moment, Bohr magnetons per cell: 0.0

abc: 5.3211 5.3211 5.3211
angles: 60.00 60.00 60.00
Atoms (fractional coordinates):
Mg 0.1250 0.1250 0.1250
Mg 0.8750 0.8750 0.8750
Te 0.3750 0.3750 0.3750
Te 0.6250 0.6250 0.6250

The following is a PBE-GGA calculation of a geometry-optimized AcBePPd structure, from the Alexandria database.

Summary:
Formation energy, eV/atom: -0.92
Space group: P4/nmm, No. 129
Volume, A^3/atom: 20.8
Size of the total moment, Bohr magnetons per cell: 0.0

abc: 4.3354 4.3354 8.8322
angles: 90.00 90.00 90.00
Atoms (fractional coordinates):
Ac 0.2500 0.2500 0.1935
Ac 0.7500 0.7500 0.8065
Be 0.2500 0.2500 0.6083
Be 0.7500 0.7500 0.3917
P 0.2500 0.2500 0.8473
P 0.7500 0.7500 0.1527
Pd 0.2500 0.7500 0.5000
Pd 0.7500 0.2500 0.5000

The following is a PBE-GGA calculation of a geometry-optimized TaRe2Ru5 structure, from the Alexandria database.

Summary:
Formation energy, eV/atom: -0.15
Space group: Fmm2, No. 42
Volume, A^3/atom: 14.6
Size of the total moment, Bohr magnetons per cell: 0.0

abc: 6.4979 5.4998 5.2324
angles: 74.48 54.64 50.88
Atoms (fractional coordinates):
Ta 0.0000 0.0000 0.0000
Re 0.4392 0.9173 0.0827
Re 0.9173 0.4392 0.5608
Ru 0.0070 0.4991 0.9930
Ru 0.4309 0.4309 0.0691
Ru 0.4991 0.0070 0.5009
Ru 0.5084 0.5084 0.4916
Ru 0.9309 0.9309 0.5691

The following is a PBE-GGA calculation of a geometry-optimized Ce8PuIn3 structure, from the Alexandria database.

Summary:
Formation energy, eV/atom: -0.15
Space group: P1, No. 1
Volume, A^3/atom: 26.3
Size of the total moment, Bohr magnetons per cell: 7.0

abc: 6.4963 6.7598 7.6899
angles: 88.40 76.89 74.06
Atoms (fractional coordinates):
Ce 0.0000 0.0000 0.0000
Ce 0.0096 0.5274 0.6058
Ce 0.0534 0.4571 0.0362
Ce 0.2981 0.2192 0.2480
Ce 0.3968 0.6097 0.6473
Ce 0.6396 0.3121 0.9700
Ce 0.7676 0.8288 0.3024
Ce 0.9269 0.0292 0.5631
Pu 0.6967 0.3457 0.3901
In 0.3120 0.7038 0.2483
In 0.3787 0.1183 0.6710
In 0.6116 0.8235 0.9197

The following is a PBE-GGA calculation of a geometry-optimized Sm2EuRh structure, from the Alexandria database.

Summary:
Formation energy, eV/atom: -0.33
Space group: P4/mmm, No. 123
Volume, A^3/atom: 29.9
Size of the total moment, Bohr magnetons per cell: 7.6
Energy relative to the lowest polymorph listed for this composition, meV/atom: 24

abc: 3.5775 3.5775 9.3530
angles: 90.00 90.00 90.00
Atoms (fractional coordinates):
Sm 0.0000 0.0000 0.1754
Sm 0.0000 0.0000 0.8246
Eu 0.5000 0.5000 0.5000
Rh 0.5000 0.5000 0.0000

The following is a PBE-GGA calculation of a geometry-optimized ReGeP2Br structure, from the Alexandria database.

Summary:
Space group: P4/mmm, No. 123
Volume, A^3/atom: 20.1
Formation energy from raw total energies, eV per atom: 1.7577
Size of the total moment, Bohr magnetons per cell: 0.0

abc: 4.5688 4.5688 4.8252
angles: 90.00 90.00 90.00
Atoms (fractional coordinates):
Re 0.0000 0.0000 0.0000
Ge 0.5000 0.5000 0.5000
P 0.0000 0.5000 0.5000
P 0.5000 0.0000 0.5000
Br 0.5000 0.5000 0.0000

The following is a PBE-GGA calculation of a geometry-optimized InSeN structure, from the Alexandria database.

Summary:
Space group: P2_1/c, No. 14
Volume, A^3/atom: 21.0
Formation energy from raw total energies, eV per atom: 0.3667
Size of the total moment, Bohr magnetons per cell: 0.0

abc: 4.0237 14.4357 5.8854
angles: 90.00 132.62 90.00
Atoms (fractional coordinates):
In 0.0872 0.1961 0.2506
In 0.0872 0.3039 0.7506
In 0.9128 0.6961 0.2494
In 0.9128 0.8039 0.7494
Se 0.0975 0.0057 0.2505
Se 0.0975 0.4943 0.7505
Se 0.9025 0.5057 0.2495
Se 0.9025 0.9943 0.7495
N 0.4127 0.7419 0.7494
N 0.4127 0.7581 0.2494
N 0.5873 0.2419 0.7506
N 0.5873 0.2581 0.2506

The following is a PBE-GGA calculation of a geometry-optimized AlCrPdRu structure, from the Alexandria database.

Summary:
Formation energy, eV/atom: -0.34
Space group: F-43m, No. 216
Volume, A^3/atom: 14.0
Size of the total moment, Bohr magnetons per cell: 2.9

abc: 4.2961 4.2961 4.2961
angles: 60.00 60.00 60.00
Atoms (fractional coordinates):
Al 0.0000 0.0000 0.0000
Cr 0.5000 0.5000 0.5000
Pd 0.2500 0.2500 0.2500
Ru 0.7500 0.7500 0.7500

The following is a PBE-GGA calculation of a geometry-optimized Mg2HgCl2 structure, from the Alexandria database.

Summary:
Space group: I4/mmm, No. 139
Volume, A^3/atom: 24.2
Formation energy from raw total energies, eV per atom: -0.8998
Size of the total moment, Bohr magnetons per cell: 0.0

abc: 6.5481 6.5481 6.5481
angles: 138.66 138.66 59.89
Atoms (fractional coordinates):
Mg 0.1282 0.1282 0.0000
Mg 0.8718 0.8718 0.0000
Hg 0.5000 0.5000 0.0000
Cl 0.2500 0.7500 0.5000
Cl 0.7500 0.2500 0.5000